First-principles (PBE-GGA) data for PmMg5Cd6 after structural relaxation, as listed in Alexandria.

a = 4.6917 Å, b = 7.5064 Å, c = 8.1912 Å
α = 90.00°, β = 90.00°, γ = 71.79°
Fractional coordinates of all 12 atoms:
Mg 0.6704 0.6592 0.5000
Mg 0.3287 0.3426 0.0000
Mg 0.0000 0.0000 0.5000
Mg 0.6713 0.6574 0.0000
Mg 0.3296 0.3408 0.5000
Cd 0.8311 0.3378 0.2593
Cd 0.8311 0.3378 0.7407
Cd 0.5000 0.0000 0.7300
Cd 0.5000 0.0000 0.2700
Cd 0.1689 0.6622 0.2593
Cd 0.1689 0.6622 0.7407
Pm 0.0000 0.0000 0.0000

Results
Density ... 5.70 g cm⁻³
Total DFT energy (no corrections) ... -1.67 eV per atom
ΔE_f ... -0.16 eV per atom